Material: ZnNi2O4
Method: DFT, PBE with a Hubbard U
State: relaxed

As for the volume: 74 Å³/f.u. Its relative energy among the computed polymorphs is 209 meV per atom. For the uncorrected energy, the calculation gives -4.513 eV/atom. As for the theoretical density: 5.56 Mg/m³. The total magnetic moment is 8.00 μB/cell.

```
data_ZnNi2O4
_chemical_formula_sum 'Zn4 Ni8 O16'
_cell_length_a 14.052
_cell_length_b 2.964
_cell_length_c 9.238
_cell_angle_alpha 90.00
_cell_angle_beta 130.00
_cell_angle_gamma 90.00
_symmetry_space_group_name_H-M 'C 1 2/m 1'
_symmetry_Int_Tables_number 12
loop_
_symmetry_equiv_pos_as_xyz
'x,y,z'
'-x,-y,-z'
'-x,y,-z'
'x,-y,z'
'x+1/2,y+1/2,z'
'-x+1/2,-y+1/2,-z'
'-x+1/2,y+1/2,-z'
'x+1/2,-y+1/2,z'
loop_
_atom_site_label
_atom_site_type_symbol
_atom_site_fract_x
_atom_site_fract_y
_atom_site_fract_z
Zn1 Zn 0.171 0.000 0.182
Ni1 Ni 0.137 0.000 0.460
Ni2 Ni 0.141 0.500 0.813
O1 O 0.033 0.000 0.753
O2 O 0.131 0.500 0.591
O3 O 0.173 0.500 0.340
O4 O 0.210 0.500 0.075
```